This record from Alexandria via LeMat-Bulk describes PmTmBiSb after structural relaxation. The functional is PBE.

Computed properties:
SG: No. 123
Crystal system: tetragonal

```
PmTmBiSb
1.0
-2.218 0.257 -3.867
2.097 -3.668 -1.446
-4.601 -3.580 2.402
Pm Tm Bi Sb
1 1 1 1
Direct
0.500 0.391 0.093
0.000 0.892 0.592
0.000 0.891 0.092
0.500 0.392 0.593
```

This record from Alexandria via LeMat-Bulk describes PmScBi2 after structural relaxation. The functional is PBE.

Computed properties:
SG: No. 160
Energy relative to the lowest polymorph listed for this composition in meV per atom: 107.4
Crystal system: trigonal
Formation enthalpy at 0 K in eV/atom: -0.68

```
PmScBi2
1.0
-2.679 2.469 2.462
0.143 -0.300 4.385
4.358 6.167 2.485
Pm Sc Bi
1 1 2
Direct
0.669 0.669 0.994
0.498 0.498 0.506
0.088 0.088 0.736
0.245 0.245 0.264
```

This record from Alexandria via LeMat-Bulk describes PmScBi after structural relaxation. The functional is PBE.

Computed properties:
SG: No. 156
Energy relative to the lowest polymorph listed for this composition in meV per atom: 333.3
Crystal system: trigonal
Formation enthalpy at 0 K in eV/atom: -0.33

```
PmScBi
1.0
3.989 0.000 0.000
0.000 5.052 0.000
0.000 -2.526 4.375
Sc Bi Pm
1 1 1
Direct
0.189 0.667 0.333
0.134 0.000 0.000
0.677 0.333 0.667
```

This record from Alexandria via LeMat-Bulk describes PmScBi after structural relaxation. The functional is PBE.

Computed properties:
SG: No. 129
Energy relative to the lowest polymorph listed for this composition in meV per atom: 189.3
Crystal system: tetragonal
Formation enthalpy at 0 K in eV/atom: -0.48

```
PmScBi
1.0
4.507 0.000 0.000
0.000 4.507 0.000
0.000 0.000 8.429
Pm Sc Bi
2 2 2
Direct
0.000 0.000 0.000
0.500 0.500 0.000
0.000 0.500 0.656
0.500 0.000 0.344
0.000 0.500 0.301
0.500 0.000 0.699
```

This record from Alexandria via LeMat-Bulk describes Pm3Sc2Bi4 after structural relaxation. The functional is PBE.

Computed properties:
SG: No. 12
Crystal system: monoclinic
Formation enthalpy at 0 K in eV/atom: -0.69

```
Pm3Sc2Bi4
1.0
4.504 0.000 0.000
-2.252 7.376 -0.949
0.000 -4.546 8.898
Pm Sc Bi
3 2 4
Direct
0.640 0.280 0.710
0.000 0.000 0.000
0.360 0.720 0.290
0.685 0.370 0.365
0.315 0.630 0.635
0.676 0.352 0.068
0.324 0.648 0.932
0.936 0.872 0.608
0.064 0.128 0.392
```

This record from Alexandria via LeMat-Bulk describes PmScBi after structural relaxation. The functional is PBE.

Computed properties:
SG: No. 129
Energy relative to the lowest polymorph listed for this composition in meV per atom: 0.0
Crystal system: tetragonal
Formation enthalpy at 0 K in eV/atom: -0.66

```
PmScBi
1.0
4.486 0.000 0.000
0.000 4.486 0.000
0.000 0.000 8.505
Pm Sc Bi
2 2 2
Direct
0.000 0.500 0.847
0.500 0.000 0.153
0.500 0.500 0.500
0.000 0.000 0.500
0.000 0.500 0.239
0.500 0.000 0.761
```

This record from Alexandria via LeMat-Bulk describes Pm3Sc2Bi3 after structural relaxation. The functional is PBE.

Computed properties:
SG: No. 193
Crystal system: hexagonal
Formation enthalpy at 0 K in eV/atom: -0.70

```
Pm3Sc2Bi3
1.0
-5.183 -0.902 -3.526
5.163 -3.495 -6.696
-3.441 -5.488 6.462
Pm Sc Bi
6 4 6
Direct
0.750 0.245 0.000
0.750 0.755 0.755
0.750 0.000 0.245
0.250 0.755 0.000
0.250 0.245 0.245
0.250 0.000 0.755
0.000 0.333 0.667
0.500 0.667 0.333
0.000 0.667 0.333
0.500 0.333 0.667
0.750 0.603 0.000
0.750 0.397 0.397
0.750 0.000 0.603
0.250 0.397 0.000
0.250 0.603 0.603
0.250 0.000 0.397
```

This record from Alexandria via LeMat-Bulk describes PmSc3Bi4 after structural relaxation. The functional is PBE.

Computed properties:
SG: No. 65
Crystal system: orthorhombic
Formation enthalpy at 0 K in eV/atom: -0.71

```
PmSc3Bi4
1.0
-4.111 1.102 0.915
0.012 -4.787 5.821
2.341 3.587 6.201
Sc Bi Pm
3 4 1
Direct
0.500 0.000 0.500
0.000 0.000 0.000
0.000 0.500 0.500
0.000 0.765 0.735
0.500 0.757 0.257
0.000 0.235 0.265
0.500 0.243 0.743
0.500 0.500 0.000
```

This record from Alexandria via LeMat-Bulk describes Pm4ScBi2 after structural relaxation. The functional is PBE.

Computed properties:
SG: No. 139
Crystal system: tetragonal
Formation enthalpy at 0 K in eV/atom: 0.03

```
Pm4ScBi2
1.0
-4.332 -1.124 -2.726
-0.246 -4.690 2.324
-2.563 6.290 6.517
Pm Sc Bi
4 1 2
Direct
0.820 0.820 0.640
0.180 0.180 0.360
0.000 0.500 0.000
0.500 0.000 0.000
0.000 0.000 0.000
0.637 0.637 0.273
0.363 0.363 0.727
```

This record from Alexandria via LeMat-Bulk describes PmScBi2 after structural relaxation. The functional is PBE.

Computed properties:
SG: No. 164
Energy relative to the lowest polymorph listed for this composition in meV per atom: 40.8
Crystal system: trigonal
Formation enthalpy at 0 K in eV/atom: -0.75

```
PmScBi2
1.0
-0.298 -1.786 4.020
-1.583 -2.167 -3.498
6.646 -3.290 -0.970
Pm Sc Bi
1 1 2
Direct
0.000 0.500 0.500
0.000 0.500 0.000
0.667 0.833 0.772
0.333 0.167 0.228
```

This record from Alexandria via LeMat-Bulk describes PmScBi after structural relaxation. The functional is PBE.

Computed properties:
SG: No. 107
Energy relative to the lowest polymorph listed for this composition in meV per atom: 234.5
Crystal system: tetragonal
Formation enthalpy at 0 K in eV/atom: -0.43

```
PmScBi
1.0
3.966 0.000 0.000
0.000 3.966 0.000
-1.983 -1.983 5.434
Sc Bi Pm
1 1 1
Direct
0.930 0.930 0.860
0.300 0.300 0.600
0.620 0.620 0.240
```

This record from Alexandria via LeMat-Bulk describes Pm3ScBi2 after structural relaxation. The functional is PBE.

Computed properties:
SG: No. 72
Energy relative to the lowest polymorph listed for this composition in meV per atom: 273.5
Crystal system: orthorhombic
Formation enthalpy at 0 K in eV/atom: -0.37

```
Pm3ScBi2
1.0
-5.067 -1.334 -4.737
5.713 -1.460 -5.700
-0.239 -5.507 7.072
Pm Sc Bi
6 2 4
Direct
0.500 0.250 0.000
0.500 0.750 0.000
0.804 0.054 0.609
0.196 0.446 0.391
0.196 0.946 0.391
0.804 0.554 0.609
0.000 0.500 0.000
0.000 0.000 0.000
0.521 0.353 0.706
0.815 0.147 0.294
0.185 0.853 0.706
0.479 0.647 0.294
```

This record from Alexandria via LeMat-Bulk describes Pm2ScBi after structural relaxation. The functional is PBE.

Computed properties:
SG: No. 123
Energy relative to the lowest polymorph listed for this composition in meV per atom: 26.4
Crystal system: tetragonal
Formation enthalpy at 0 K in eV/atom: -0.36

```
Pm2ScBi
1.0
-3.569 -3.321 -0.202
2.557 -2.554 -3.204
2.075 -2.449 3.608
Sc Bi Pm
1 1 2
Direct
0.500 0.000 0.000
0.500 0.500 0.500
0.000 0.000 0.500
0.000 0.500 0.000
```

This record from Alexandria via LeMat-Bulk describes PmScBi2 after structural relaxation. The functional is PBE.

Computed properties:
SG: No. 59
Energy relative to the lowest polymorph listed for this composition in meV per atom: 11.2
Crystal system: orthorhombic
Formation enthalpy at 0 K in eV/atom: -0.78

```
PmScBi2
1.0
-2.737 3.276 -1.147
-2.825 -0.389 5.629
5.696 5.901 3.267
Pm Sc Bi
2 2 4
Direct
0.000 0.500 0.871
0.500 0.000 0.129
0.500 0.000 0.626
0.000 0.500 0.374
0.000 0.000 0.861
0.000 0.000 0.392
0.500 0.500 0.608
0.500 0.500 0.139
```

This record from Alexandria via LeMat-Bulk describes PmScBi after structural relaxation. The functional is PBE.

Computed properties:
SG: No. 71
Energy relative to the lowest polymorph listed for this composition in meV per atom: 346.4
Crystal system: orthorhombic
Formation enthalpy at 0 K in eV/atom: -0.32

```
PmScBi
1.0
-3.217 4.862 0.901
-2.198 -0.995 -2.481
-2.081 -6.205 6.746
Pm Sc Bi
2 2 2
Direct
0.337 0.837 0.674
0.663 0.163 0.326
0.260 0.500 0.000
0.740 0.500 0.000
0.848 0.348 0.696
0.152 0.652 0.304
```

This record from Alexandria via LeMat-Bulk describes Pm3Sc5Bi12 after structural relaxation. The functional is PBE.

Computed properties:
SG: No. 230
Crystal system: cubic
Formation enthalpy at 0 K in eV/atom: -0.17

```
Pm3Sc5Bi12
1.0
-10.921 9.393 -5.967
-6.542 -13.466 4.356
6.541 6.847 12.387
Pm Sc Bi
12 20 48
Direct
0.750 0.375 0.125
0.875 0.750 0.125
0.375 0.750 0.625
0.250 0.125 0.375
0.875 0.125 0.250
0.375 0.625 0.250
0.625 0.375 0.750
0.125 0.875 0.750
0.750 0.875 0.625
0.625 0.250 0.375
0.125 0.250 0.875
0.250 0.625 0.875
0.125 0.375 0.250
0.000 0.500 0.000
0.000 0.000 0.000
0.375 0.250 0.125
0.500 0.000 0.500
0.500 0.500 0.000
0.125 0.750 0.375
0.750 0.125 0.875
0.750 0.625 0.375
0.375 0.125 0.750
0.625 0.875 0.250
0.500 0.500 0.500
0.500 0.000 0.000
0.000 0.000 0.500
0.250 0.375 0.625
0.250 0.875 0.125
0.000 0.500 0.500
0.875 0.250 0.625
0.625 0.750 0.875
0.875 0.625 0.750
0.722 0.105 0.044
0.321 0.544 0.438
0.956 0.395 0.278
0.544 0.222 0.105
0.617 0.722 0.679
0.956 0.562 0.179
0.321 0.778 0.383
0.062 0.883 0.105
0.562 0.956 0.679
0.722 0.617 0.179
0.778 0.456 0.395
0.821 0.938 0.044
0.105 0.722 0.544
0.395 0.438 0.117
0.117 0.938 0.395
0.383 0.105 0.562
0.117 0.179 0.222
0.456 0.679 0.062
0.821 0.883 0.278
0.105 0.383 0.062
0.395 0.956 0.778
0.562 0.605 0.383
0.938 0.821 0.544
0.778 0.321 0.883
0.438 0.395 0.617
0.062 0.179 0.456
0.222 0.679 0.117
0.179 0.117 0.722
0.605 0.044 0.222
0.895 0.617 0.938
0.544 0.321 0.938
0.617 0.895 0.438
0.883 0.821 0.778
0.883 0.062 0.605
0.895 0.278 0.456
0.179 0.062 0.956
0.605 0.562 0.883
0.438 0.044 0.321
0.278 0.383 0.821
0.222 0.544 0.605
0.938 0.117 0.895
0.679 0.222 0.617
0.456 0.778 0.895
0.044 0.438 0.821
0.383 0.278 0.321
0.044 0.605 0.722
0.679 0.456 0.562
0.278 0.895 0.956
```

This record from Alexandria via LeMat-Bulk describes PmSc2Bi2 after structural relaxation. The functional is PBE.

Computed properties:
SG: No. 15
Crystal system: monoclinic
Formation enthalpy at 0 K in eV/atom: -0.42

```
PmSc2Bi2
1.0
-5.149 0.360 -5.871
5.066 -5.236 -2.833
-2.632 -2.051 5.072
Pm Sc Bi
2 4 4
Direct
0.904 0.596 0.750
0.096 0.404 0.250
0.231 0.913 0.522
0.413 0.731 0.022
0.769 0.087 0.478
0.587 0.269 0.978
0.187 0.313 0.750
0.374 0.126 0.250
0.626 0.874 0.750
0.813 0.687 0.250
```

This record from Alexandria via LeMat-Bulk describes Pm5ScBi6 after structural relaxation. The functional is PBE.

Computed properties:
SG: No. 12
Crystal system: monoclinic
Formation enthalpy at 0 K in eV/atom: -0.88

```
Pm5ScBi6
1.0
7.716 -0.125 -1.457
-4.173 6.491 -1.457
0.149 0.267 7.846
Sc Bi Pm
1 6 5
Direct
0.000 0.000 0.000
0.402 0.080 0.241
0.920 0.598 0.759
0.239 0.239 0.753
0.761 0.761 0.247
0.080 0.402 0.241
0.598 0.920 0.759
0.828 0.172 0.500
0.665 0.335 0.000
0.500 0.500 0.500
0.335 0.665 0.000
0.172 0.828 0.500
```

This record from Alexandria via LeMat-Bulk describes Pm2ScBi after structural relaxation. The functional is PBE.

Computed properties:
SG: No. 166
Energy relative to the lowest polymorph listed for this composition in meV per atom: 415.1
Crystal system: trigonal
Formation enthalpy at 0 K in eV/atom: 0.03

```
Pm2ScBi
1.0
3.515 0.000 0.000
1.758 3.044 0.000
1.758 1.015 11.990
Sc Bi Pm
1 1 2
Direct
0.500 0.500 0.500
0.000 0.000 0.000
0.090 0.090 0.729
0.910 0.910 0.271
```

This record from Alexandria via LeMat-Bulk describes PmSc3Bi3 after structural relaxation. The functional is PBE.

Computed properties:
SG: No. 148
Crystal system: trigonal
Formation enthalpy at 0 K in eV/atom: -0.54

```
PmSc3Bi3
1.0
8.897 0.000 0.000
4.448 7.705 0.000
4.448 2.568 6.065
Pm Sc Bi
2 6 6
Direct
0.335 0.335 0.995
0.665 0.665 0.005
0.341 0.813 0.770
0.813 0.076 0.770
0.076 0.341 0.770
0.924 0.659 0.230
0.187 0.924 0.230
0.659 0.187 0.230
0.287 0.531 0.269
0.913 0.287 0.269
0.531 0.913 0.269
0.469 0.087 0.731
0.087 0.713 0.731
0.713 0.469 0.731
```

This record from Alexandria via LeMat-Bulk describes PmScBi2 after structural relaxation. The functional is PBE.

Computed properties:
SG: No. 166
Energy relative to the lowest polymorph listed for this composition in meV per atom: 0.0
Crystal system: trigonal
Formation enthalpy at 0 K in eV/atom: -0.79

```
PmScBi2
1.0
-0.476 -3.707 2.381
3.568 -2.049 1.647
0.511 2.012 7.359
Sc Bi Pm
1 2 1
Direct
0.000 0.000 0.000
0.743 0.743 0.771
0.257 0.257 0.229
0.500 0.500 0.500
```

This record from Alexandria via LeMat-Bulk describes PmScBi2 after structural relaxation. The functional is PBE.

Computed properties:
SG: No. 225
Energy relative to the lowest polymorph listed for this composition in meV per atom: 258.2
Crystal system: cubic
Formation enthalpy at 0 K in eV/atom: -0.53

```
PmScBi2
1.0
-4.964 2.249 0.084
-4.366 -3.072 1.099
-2.638 0.606 4.731
Sc Bi Pm
1 2 1
Direct
0.500 0.500 0.500
0.250 0.250 0.250
0.750 0.750 0.750
0.000 0.000 0.000
```

Respective N(E_F) values: 0.6, 0.6, 4.3, 6.4, 7.9, 5.1, 14.6, 1.6, 7.0, 1.2, 2.3, 15.5, 4.6, 1.3, 5.4, 49.3, 12.1, 2.3, 4.8, 10.9, 0.8, 3.8 states/eV/cell.
Respective total DFT energy (no corrections) values: -5.278, -5.394, -5.319, -5.463, -5.406, -5.652, -5.520, -5.620, -4.696, -5.461, -5.418, -5.092, -5.291, -5.490, -5.306, -4.791, -5.450, -5.327, -4.902, -5.596, -5.501, -5.243 eV per atom.